Record 1
Mg2Tc | Alexandria | PBE | relaxed; SG = Pnma, No. 62; crystal system = orthorhombic
1.0
6.9254 0.0000 0.0000
0.0000 3.2206 0.0000
0.0000 0.0000 9.7303
Mg Tc
8 4
direct
0.1292 0.2500 0.2404
0.1483 0.2500 0.9250
0.3517 0.7500 0.4250
0.3708 0.7500 0.7404
0.6292 0.2500 0.2596
0.6483 0.2500 0.5750
0.8517 0.7500 0.0750
0.8708 0.7500 0.7596
0.0934 0.2500 0.5693
0.4066 0.7500 0.0693
0.5934 0.2500 0.9307
0.9066 0.7500 0.4307


Record 2
ZnInW2 | Alexandria | PBE | relaxed; SG = I-42d, No. 122; crystal system = tetragonal
1.0
3.8264 0.0000 0.0000
0.0000 3.8264 0.0000
0.0000 0.0000 19.9740
Zn In W
4 4 8
direct
0.0000 0.0000 0.0000
0.0000 0.5000 0.2500
0.5000 0.0000 0.7500
0.5000 0.5000 0.5000
0.0000 0.0000 0.5000
0.0000 0.5000 0.7500
0.5000 0.0000 0.2500
0.5000 0.5000 0.0000
0.2381 0.2500 0.1250
0.2500 0.7381 0.3750
0.2500 0.7619 0.8750
0.2619 0.2500 0.6250
0.7381 0.7500 0.6250
0.7500 0.2381 0.8750
0.7500 0.2619 0.3750
0.7619 0.7500 0.1250


Record 3
Y5Tl2Co | Alexandria | PBE | relaxed; SG = Pbam, No. 55; crystal system = orthorhombic
1.0
8.0519 0.0000 0.0000
0.0000 11.7771 0.0000
0.0000 0.0000 4.6186
Y Tl Co
10 4 2
direct
0.0000 0.0000 0.0000
0.1396 0.3041 0.0000
0.1816 0.5680 0.5000
0.3184 0.0680 0.5000
0.3604 0.8041 0.0000
0.5000 0.5000 0.0000
0.6396 0.1959 0.0000
0.6816 0.9320 0.5000
0.8184 0.4320 0.5000
0.8604 0.6959 0.0000
0.0688 0.8296 0.5000
0.4312 0.3296 0.5000
0.5688 0.6704 0.5000
0.9312 0.1704 0.5000
0.0000 0.5000 0.0000
0.5000 0.0000 0.0000


| no. | M_tot (μB per formula unit) | formation enthalpy at 0 K (eV/atom) |
| --- | --- | --- |
| 1 | 0.0 | 0.15 |
| 2 | 0.0 | 0.78 |
| 3 | 0.0 | -0.28 |